Entry 1:
Below is a relaxed structure of Tb2Nd5ErTm, with properties calculated at the PBE-GGA level.

Results
* magnetization: 0.00 μB/f.u.
* energy of formation from the pure elements: 0.14 eV per atom
* Fermi-level density of states: 1.5614 states/eV/atom
* E: -4.54 eV per atom

Cell: 5.6418 20.4293 10.6890 Å, 90.00 90.00 90.00°
With the nearest neighbours (Å) after each atom.
Space group Cmc2_1 (No. 36)
Inequivalent atoms, fractional coordinates:
Tb 0.0000 0.1128 0.0000 x4  1 Tm 3.39, 7 Nd 3.54-3.77, 2 Er 3.74
Tb 0.0000 0.1145 0.5698 x4  9 Nd 3.36-3.72, 1 Tm 3.61
Nd 0.0000 0.0157 0.2773 x4  2 Er 3.28, 3 Tb 3.46-3.57
Nd 0.0000 0.2790 0.5747 x4  1 Er 3.07, 1 Tb 3.36, 2 Nd 3.41
Nd 0.0000 0.2968 0.9685 x4  3 Nd 3.41-3.78, 1 Er 3.42, 3 Tm 3.52-3.82, 3 Tb 3.52-3.77
Nd 0.0000 0.3825 0.2819 x4  6 Nd 3.60-3.92, 4 Tb 3.62-3.66, 1 Tm 3.77
Nd 0.0000 0.4841 0.0063 x4  2 Er 3.25-3.38, 2 Tb 3.53, 2 Nd 3.60-3.63
Er 0.0000 0.4066 0.7267 x4  6 Nd 3.07-3.42
Tm 0.0000 0.1981 0.2721 x4  2 Tb 3.39-3.61, 7 Nd 3.52-3.77, 2 Er 3.57


Entry 2:
Below is a relaxed structure of CeAl2GeAu4, with properties calculated at the PBE-GGA level.

Results
* magnetization: 0.78 μB/f.u.
* energy of formation from the pure elements: -0.39 eV per atom
* Fermi-level density of states: 0.8962 states/eV/atom
* E: -4.28 eV per atom

Cell: 4.3994 4.3994 28.8033 Å, 90.00 90.00 120.00°
With the nearest neighbours (Å) after each atom.
Space group R-3m (No. 166, hexagonal axes)
Inequivalent atoms, fractional coordinates:
Ce 0.0000 0.0000 0.0000 x3  6 Au 3.09
Al 0.0000 0.0000 0.2480 x6  6 Au 2.63-2.75
Ge 0.0000 0.0000 0.5000 x3  8 Au 2.84-3.03
Au 0.0000 0.0000 0.1222 x6  3 Al 2.75, 3 Ge 2.84
Au 0.0000 0.0000 0.3947 x6  3 Al 2.63


Entry 3:
Below is a relaxed structure of NdTlAgCl6, with properties calculated at the PBE-GGA level.

Results
* magnetization: 0.00 μB/f.u.
* Fermi-level density of states: 0.5172 states/eV/atom
* E: -3.67 eV per atom

Cell: 6.9534 6.9534 13.2814 Å, 90.00 90.00 120.00°
With the nearest neighbours (Å) after each atom.
Space group P-31c (No. 163)
Inequivalent atoms, fractional coordinates:
Nd 0.3333 0.6667 0.2500 x2  6 Cl 2.77
Tl 0.0000 0.0000 0.0000 x2  6 Cl 3.04
Ag 0.3333 0.6667 0.7500 x2  6 Cl 2.68
Cl 0.0095 0.3591 0.6343 x12  1 Ag 2.68, 1 Nd 2.77


Entry 4:
Below is a relaxed structure of Tc2IrBr, with properties calculated at the PBE-GGA level.

Results
* magnetization: 0.00 μB/f.u.
* distance to the lowest polymorph of the same formula: 138 meV/atom
* Fermi-level density of states: 1.0973 states/eV/atom
* E: -7.19 eV per atom

Cell: 2.8635 2.8635 7.5749 Å, 90.00 90.00 90.00°
With the nearest neighbours (Å) after each atom.
Space group P4/mmm (No. 123)
Inequivalent atoms, fractional coordinates:
Tc 0.0000 0.0000 0.2433 x2  4 Ir 2.74, 4 Br 2.81, 4 Tc 2.86
Ir 0.5000 0.5000 0.0000 x1  8 Tc 2.74, 4 Ir 2.86
Br 0.5000 0.5000 0.5000 x1  8 Tc 2.81, 4 Br 2.86


Entry 5:
Below is a relaxed structure of TbSmIrPt, with properties calculated at the PBE-GGA level.

Results
* magnetization: 0.00 μB/f.u.
* energy of formation from the pure elements: -0.97 eV per atom
* distance to the lowest polymorph of the same formula: 0 meV/atom
* Fermi-level density of states: 0.5647 states/eV/atom
* E: -7.04 eV per atom

Cell: 4.3180 3.8898 10.7940 Å, 90.00 90.00 90.00°
With the nearest neighbours (Å) after each atom.
Space group Amm2 (No. 38)
Inequivalent atoms, fractional coordinates:
Tb 0.0000 0.0000 0.0000 x2  4 Ir 2.96, 3 Pt 2.98-3.10
Sm 0.5000 0.0000 0.2842 x2  3 Ir 2.90-3.17, 4 Pt 2.98
Ir 0.5000 0.0000 0.5526 x2  2 Pt 2.84, 3 Sm 2.90-3.17, 4 Tb 2.96
Pt 0.0000 0.0000 0.7240 x2  2 Ir 2.84, 4 Sm 2.98, 3 Tb 2.98-3.10


Entry 6:
Below is a relaxed structure of Be2BN, with properties calculated at the PBE-GGA level.

Results
* magnetization: 0.00 μB/f.u.
* distance to the lowest polymorph of the same formula: 184 meV/atom
* Fermi-level density of states: 0.0017 states/eV/atom
* E: -6.08 eV per atom

Cell: 3.8523 2.9410 6.0944 Å, 90.00 107.68 90.00°
With the nearest neighbours (Å) after each atom.
Space group Pm (No. 6)
Inequivalent atoms, fractional coordinates:
Be 0.0000 0.0000 0.0000 x1  1 N 1.65
Be 0.1355 0.5000 0.7604 x1  1 N 1.61
Be 0.2770 0.5000 0.3213 x1  3 N 1.64-1.70
Be 0.8173 0.0000 0.4043 x1  3 N 1.64-1.72
B 0.5116 0.0000 0.9933 x1  1 N 1.60, 2 B 1.71
B 0.6831 0.5000 0.9274 x1  2 B 1.71, 2 Be 1.88
N 0.0050 0.5000 0.4827 x1  4 Be 1.61-1.64
N 0.3813 0.0000 0.2181 x1  1 B 1.60, 4 Be 1.65-1.72


Entry 7:
Below is a relaxed structure of Zn4CuAu4, with properties calculated at the PBE-GGA level.

Results
* magnetization: 0.00 μB/f.u.
* energy of formation from the pure elements: -0.16 eV per atom
* distance to the lowest polymorph of the same formula: 0 meV/atom
* Fermi-level density of states: 0.3012 states/eV/atom
* E: -2.64 eV per atom

Cell: 8.4804 8.4804 3.9843 Å, 90.00 90.00 90.00°
With the nearest neighbours (Å) after each atom.
Space group I4/m (No. 87)
Inequivalent atoms, fractional coordinates:
Zn 0.1615 0.8382 0.0000 x8  4 Zn 2.74-2.91, 6 Au 2.75-2.88, 2 Cu 2.78
Cu 0.0000 0.0000 0.5000 x2  4 Au 2.68, 8 Zn 2.78
Au 0.0007 0.3157 0.5000 x8  1 Cu 2.68, 6 Zn 2.75-2.88, 4 Au 2.98


Entry 8:
Below is a relaxed structure of K2HfNpSe4, with properties calculated at the PBE-GGA level.

Results
* magnetization: 4.71 μB/f.u.
* Fermi-level density of states: 1.3137 states/eV/atom
* E: -6.14 eV per atom

Cell: 7.0739 4.0560 8.0794 Å, 90.00 106.63 90.00°
With the nearest neighbours (Å) after each atom.
Space group P2/m (No. 10)
Inequivalent atoms, fractional coordinates:
K 0.0000 0.0000 0.0000 x1  6 Se 3.22
K 0.5000 0.5000 0.0000 x1  6 Se 3.35-3.36
Hf 0.0000 0.5000 0.5000 x1  6 Se 2.74-2.77
Np 0.5000 0.0000 0.5000 x1  6 Se 2.90-2.91
Se 0.2170 0.0000 0.6999 x2  2 Hf 2.77, 1 Np 2.91
Se 0.2462 0.5000 0.2930 x2  1 Hf 2.74, 2 Np 2.90


Entry 9:
Below is a relaxed structure of LaSiNi2, with properties calculated at the PBE-GGA level.

Results
* magnetization: 0.00 μB/f.u.
* Fermi-level density of states: 0.6609 states/eV/atom
* E: -5.76 eV per atom

Cell: 3.4235 3.5415 11.6588 Å, 90.00 90.00 90.00°
With the nearest neighbours (Å) after each atom.
Space group Imm2 (No. 44)
Inequivalent atoms, fractional coordinates:
La 0.0000 0.0000 0.0000 x2  6 Ni 2.90-3.11
Si 0.0000 0.5000 0.2618 x2  6 Ni 2.29-2.47
Ni 0.0000 0.0000 0.6310 x2  2 Si 2.29, 2 Ni 2.48
Ni 0.0000 0.5000 0.7806 x2  4 Si 2.47, 2 Ni 2.48


Entry 10:
Below is a relaxed structure of CeDyRuAu, with properties calculated at the PBE-GGA level.

Results
* magnetization: 0.56 μB/f.u.
* energy of formation from the pure elements: -0.47 eV per atom
* Fermi-level density of states: 1.7866 states/eV/atom
* E: -6.24 eV per atom

Cell: 7.0810 7.0810 7.0810 Å, 90.00 90.00 90.00°
With the nearest neighbours (Å) after each atom.
Space group F-43m (No. 216)
Inequivalent atoms, fractional coordinates:
Ce 0.0000 0.0000 0.0000 x4  4 Ru 3.07, 4 Au 3.07
Dy 0.0000 0.0000 0.5000 x4  4 Au 3.07, 4 Ru 3.07
Ru 0.2500 0.2500 0.7500 x4  4 Dy 3.07, 4 Ce 3.07
Au 0.2500 0.2500 0.2500 x4  4 Dy 3.07, 4 Ce 3.07


Entry 11:
Below is a relaxed structure of Hf5In2Fe2, with properties calculated at the PBE-GGA level.

Results
* magnetization: 0.00 μB/f.u.
* energy of formation from the pure elements: -0.15 eV per atom
* Fermi-level density of states: 0.8894 states/eV/atom
* E: -8.17 eV per atom

Cell: 15.0288 7.4280 6.6179 Å, 90.00 90.00 90.00°
With the nearest neighbours (Å) after each atom.
Space group Cmce (No. 64)
Inequivalent atoms, fractional coordinates:
Hf 0.0000 0.0000 0.0000 x4  4 Fe 2.62-2.88
Hf 0.1087 0.1752 0.3408 x16  3 Fe 2.55-2.80
In 0.2221 0.0000 0.0000 x8  7 Hf 3.04-3.34
Fe 0.0000 0.1305 0.6322 x8  7 Hf 2.55-2.80, 1 Fe 2.61


Entry 12:
Below is a relaxed structure of La2NdTm5Th, with properties calculated at the PBE-GGA level.

Results
* magnetization: 0.00 μB/f.u.
* energy of formation from the pure elements: 0.28 eV per atom
* Fermi-level density of states: 1.4065 states/eV/atom
* E: -4.66 eV per atom

Cell: 8.6669 8.6669 15.5319 Å, 90.00 90.00 90.00°
With the nearest neighbours (Å) after each atom.
Space group I4/mcm (No. 140)
Inequivalent atoms, fractional coordinates:
La 0.1165 0.3835 0.0000 x8  1 La 2.86, 2 Tm 3.01
Nd 0.0000 0.5000 0.2500 x4  4 Tm 3.14
Tm 0.0000 0.0000 0.0000 x4  4 La 3.47, 8 Tm 3.79, 2 Th 3.88
Tm 0.2159 0.2841 0.3587 x16  1 La 3.01, 1 Nd 3.14
Th 0.0000 0.0000 0.2500 x4  10 Tm 3.52-3.88